No. 1
Computed, not measured: an optimized crystal structure of SmGdInCu2 at the PBE-GGA level of DFT.

The structure in POSCAR format:
```
SmGdInCu2
1.0
3.644 0.000 0.000
0.000 2.157 7.050
0.000 -2.157 7.050
Sm Gd In Cu
1 1 1 2
direct
0.000 0.000 0.000 Sm
0.000 0.734 0.734 Gd
0.500 0.366 0.366 In
0.500 0.166 0.166 Cu
0.500 0.570 0.570 Cu
```

space-group type	Amm2
mass density	8.23	g/cm³
E_tot	-4.2705	eV per atom


No. 2
Computed, not measured: an optimized crystal structure of SmGd2In3Cu3 at the PBE-GGA level of DFT.

The structure in POSCAR format:
```
SmGd2In3Cu3
1.0
4.021 0.000 0.000
0.000 6.481 3.747
0.000 -6.481 3.747
Sm Gd In Cu
1 2 3 3
direct
0.000 0.000 0.000 Sm
0.000 0.413 0.826 Gd
0.000 0.826 0.413 Gd
0.500 0.162 0.415 In
0.500 0.415 0.162 In
0.500 0.664 0.664 In
0.000 0.415 0.415 Cu
0.500 0.081 0.745 Cu
0.500 0.745 0.081 Cu
```

space-group type	Amm2
mass density	8.50	g/cm³
E_tot	-4.1211	eV per atom


no.,total magnetic moment (μB/cell)
1,0.02
2,0.01